First-principles (PBE-GGA) data for a relaxed YTm2Pt crystal, as listed in the Alexandria database.

abc: 3.8115 6.3703 9.0643
angles: 90.00 90.00 107.46
With the nearest neighbours (Å) after each atom.
Atoms (fractional coordinates):
Pt  0.7421  0.4834  0.2500  6 Tm 2.85-3.18, 2 Y 3.05
Pt  0.2579  0.5166  0.7500  6 Tm 2.85-3.18, 2 Y 3.05
Y  0.4375  0.8754  0.2500  2 Pt 3.05
Y  0.5625  0.1246  0.7500  2 Pt 3.05
Tm  0.8615  0.7235  0.9383  3 Pt 2.85-3.18
Tm  0.1385  0.2765  0.4383  3 Pt 2.85-3.18
Tm  0.1385  0.2765  0.0617  3 Pt 2.85-3.18
Tm  0.8615  0.7235  0.5617  3 Pt 2.85-3.18

Summary:
Relative energy among the computed polymorphs, meV per atom: 34

First-principles (PBE-GGA) data for a relaxed YTm5Pt6 crystal, as listed in the Alexandria database.

abc: 4.8927 8.4680 8.4680
angles: 120.00 106.82 106.82
With the nearest neighbours (Å) after each atom.
Atoms (fractional coordinates):
Pt  0.2443  0.7442  0.7442  6 Tm 2.97-3.01, 2 Y 3.02
Pt  0.2528  0.0838  0.4214  7 Tm 2.96-3.01, 1 Y 3.03
Pt  0.2528  0.4214  0.0838  7 Tm 2.96-3.01, 1 Y 3.03
Pt  0.7472  0.5786  0.9162  7 Tm 2.96-3.01, 1 Y 3.03
Pt  0.7472  0.9162  0.5786  7 Tm 2.96-3.01, 1 Y 3.03
Pt  0.7557  0.2558  0.2558  6 Tm 2.97-3.01, 2 Y 3.02
Tm  0.5000  0.8335  0.1665  8 Pt 2.96-3.01
Tm  0.5000  0.5000  0.5000  8 Pt 2.97-3.01
Tm  0.5000  0.1665  0.8335  8 Pt 2.96-3.01
Tm  0.0000  0.3331  0.6669  8 Pt 2.97-2.99
Tm  0.0000  0.6669  0.3331  8 Pt 2.97-2.99
Y  0.0000  0.0000  0.0000  8 Pt 3.02-3.03

| no. | size of the total moment (μB per formula unit) | ΔH_f (0 K) (eV per atom) | calculated volume (Å³ per atom) |
| --- | --- | --- | --- |
| 1 | 0.0 | -0.71 | 26.2 |
| 2 | 0.0 | -1.27 | 20.7 |